1.
Crystalline Li2CdRe at its relaxed geometry. Source: Alexandria, functional PBE.

The structure belongs to space group Cmmm (No. 65); the cell edges are 5.6270, 8.7271 and 2.5819 Å and the angles 90.00°, 90.00° and 90.00°. The distinct sites, in fractional coordinates, are Li at (0.2500, 0.2500, 0.0000), Cd at (0.0000, 0.0000, 0.5000) and Re at (0.0000, 0.5000, 0.5000).

As for the energy of formation: 357 meV/atom.

***

2.
Crystalline Sm9Y3Er2 at its relaxed geometry. Source: Alexandria, functional PBE.

The structure belongs to space group Immm (No. 71); the cell edges are 5.6695, 10.9222 and 15.0547 Å and the angles 90.00°, 90.00° and 90.00°. The distinct sites, in fractional coordinates, are Sm at (0.0000, 0.0000, 0.0000), Sm at (0.0000, 0.1580, 0.2253), Sm at (0.0000, 0.3394, 0.3959), Y at (0.0000, 0.0000, 0.5000), Y at (0.0000, 0.3018, 0.0000) and Er at (0.0000, 0.5000, 0.1819).

As for the energy of formation: 108 meV/atom.

***

3.
Crystalline KZrOsC2 at its relaxed geometry. Source: Alexandria, functional PBE.

The structure belongs to space group P4/mmm (No. 123); the cell edges are 4.0460, 4.0460 and 5.4675 Å and the angles 90.00°, 90.00° and 90.00°. The distinct sites, in fractional coordinates, are K at (0.0000, 0.0000, 0.0000), Zr at (0.5000, 0.5000, 0.0000), Os at (0.0000, 0.0000, 0.5000) and C at (0.0000, 0.5000, 0.5000).

As for the energy of formation: 2071 meV/atom.

***

4.
Crystalline Li2TlCuN at its relaxed geometry. Source: Alexandria, functional PBE.

The structure belongs to space group P4/mmm (No. 123); the cell edges are 4.3176, 4.3176 and 3.7645 Å and the angles 90.00°, 90.00° and 90.00°. The distinct sites, in fractional coordinates, are Li at (0.0000, 0.5000, 0.0000), Tl at (0.0000, 0.0000, 0.5000), Cu at (0.5000, 0.5000, 0.5000) and N at (0.5000, 0.5000, 0.0000).

The formation energy from raw total energies is -0.091 eV/atom.

***

5.
Crystalline TaTiP3 at its relaxed geometry. Source: Alexandria, functional PBE.

The structure belongs to space group Pm-3m (No. 221); the cell edges are 4.7565, 4.7565 and 4.7565 Å and the angles 90.00°, 90.00° and 90.00°. The distinct sites, in fractional coordinates, are Ta at (0.0000, 0.0000, 0.0000), Ti at (0.5000, 0.5000, 0.5000) and P at (0.0000, 0.0000, 0.5000).

The value obtained for the energy above the most stable polymorph in this dataset is 0.00 eV per formula unit. As for the energy of formation: 487 meV/atom.

***

6.
Crystalline NaIn3 at its relaxed geometry. Source: Alexandria, functional PBE.

The structure belongs to space group C2/m (No. 12); the cell edges are 6.5946, 6.6324 and 5.8213 Å and the angles 90.00°, 124.25° and 90.00°. The distinct sites, in fractional coordinates, are Na at (0.0000, 0.0000, 0.0000), In at (0.0000, 0.2502, 0.5000) and In at (0.0000, 0.5000, 0.0000).

As for the energy of formation: -79 meV/atom.

***

7.
Crystalline SrZn4Au8 at its relaxed geometry. Source: Alexandria, functional PBE.

The structure belongs to space group I4/mmm (No. 139); the cell edges are 9.3427, 9.3427 and 5.4805 Å and the angles 90.00°, 90.00° and 90.00°. The distinct sites, in fractional coordinates, are Sr at (0.0000, 0.0000, 0.0000), Zn at (0.2500, 0.2500, 0.2500), Au at (0.0000, 0.2202, 0.5000) and Au at (0.0000, 0.3397, 0.0000).

As for the energy of formation: -329 meV/atom.

***

8.
Crystalline BaTcPt2 at its relaxed geometry. Source: Alexandria, functional PBE.

The structure belongs to space group Immm (No. 71); the cell edges are 4.4126, 5.8357 and 7.5694 Å and the angles 90.00°, 90.00° and 90.00°. The distinct sites, in fractional coordinates, are Ba at (0.0000, 0.0000, 0.0000), Tc at (0.0000, 0.0000, 0.5000) and Pt at (0.0000, 0.5000, 0.1915).

The value obtained for the energy above the most stable polymorph in this dataset is 2.24 eV per formula unit. As for the energy of formation: 353 meV/atom.

***

9.
Crystalline TlC2Se2 at its relaxed geometry. Source: Alexandria, functional PBE.

The structure belongs to space group I4/mmm (No. 139); the cell edges are 4.3035, 4.3035 and 11.4107 Å and the angles 90.00°, 90.00° and 90.00°. The distinct sites, in fractional coordinates, are Tl at (0.0000, 0.0000, 0.0000), C at (0.0000, 0.0000, 0.2490) and Se at (0.0000, 0.5000, 0.2500).

The formation energy from raw total energies is 1.550 eV/atom.

***

10.
Crystalline SrTe2NF at its relaxed geometry. Source: Alexandria, functional PBE.

The structure belongs to space group P4/mmm (No. 123); the cell edges are 6.2433, 6.2433 and 4.3724 Å and the angles 90.00°, 90.00° and 90.00°. The distinct sites, in fractional coordinates, are Sr at (0.0000, 0.0000, 0.0000), Te at (0.0000, 0.5000, 0.0000), N at (0.0000, 0.0000, 0.5000) and F at (0.5000, 0.5000, 0.5000).

The formation energy from raw total energies is 0.892 eV/atom. The value obtained for the energy above the most stable polymorph in this dataset is 4.30 eV per formula unit.

***

11.
Crystalline CuSiRu2 at its relaxed geometry. Source: Alexandria, functional PBE.

The structure belongs to space group F-43m (No. 216); the cell edges are 5.9675, 5.9675 and 5.9675 Å and the angles 90.00°, 90.00° and 90.00°. The distinct sites, in fractional coordinates, are Cu at (0.0000, 0.0000, 0.0000), Si at (0.2500, 0.2500, 0.2500), Ru at (0.0000, 0.0000, 0.5000) and Ru at (0.2500, 0.2500, 0.7500).

The formation energy from raw total energies is 0.090 eV/atom.

***

12.
Crystalline TbNi6Sn6 at its relaxed geometry. Source: Alexandria, functional PBE.

The structure belongs to space group Immm (No. 71); the cell edges are 5.4624, 8.6575 and 9.3990 Å and the angles 90.00°, 90.00° and 90.00°. The distinct sites, in fractional coordinates, are Tb at (0.0000, 0.0000, 0.0000), Ni at (0.0000, 0.2498, 0.5000), Ni at (0.2500, 0.2500, 0.2500), Sn at (0.0000, 0.0000, 0.3357), Sn at (0.0000, 0.3367, 0.0000) and Sn at (0.0000, 0.5000, 0.3318).

As for the energy of formation: -311 meV/atom.

***

13.
Crystalline YIn2As at its relaxed geometry. Source: Alexandria, functional PBE.

The structure belongs to space group C2/m (No. 12); the cell edges are 5.9450, 11.6387 and 4.1556 Å and the angles 90.00°, 134.11° and 90.00°. The distinct sites, in fractional coordinates, are Y at (0.0000, 0.0000, 0.0000), In at (0.2500, 0.2500, 0.0000) and As at (0.0000, 0.5000, 0.0000).

As for the energy of formation: -506 meV/atom.

***

14.
Crystalline MgNiMo at its relaxed geometry. Source: Alexandria, functional PBE.

The structure belongs to space group P-1 (No. 2); the cell edges are 2.6880, 5.9211 and 6.0366 Å and the angles 103.35°, 101.31° and 91.20°. The distinct sites, in fractional coordinates, are Mg at (0.1499, 0.0673, 0.2822), Ni at (0.4944, 0.2860, 0.9919) and Mo at (0.1320, 0.5616, 0.3165).

The value obtained for the energy above the most stable polymorph in this dataset is 0.31 eV per formula unit. As for the energy of formation: 114 meV/atom.

***

15.
Crystalline BeRh3I at its relaxed geometry. Source: Alexandria, functional PBE.

The structure belongs to space group Pm-3m (No. 221); the cell edges are 4.2975, 4.2975 and 4.2975 Å and the angles 90.00°, 90.00° and 90.00°. The distinct sites, in fractional coordinates, are Be at (0.0000, 0.0000, 0.0000), Rh at (0.0000, 0.0000, 0.5000) and I at (0.5000, 0.5000, 0.5000).

The formation energy from raw total energies is 0.442 eV/atom. The value obtained for the energy above the most stable polymorph in this dataset is 0.00 eV per formula unit.

***

16.
Crystalline CaIn4Pb2 at its relaxed geometry. Source: Alexandria, functional PBE.

The structure belongs to space group I4/mmm (No. 139); the cell edges are 6.1751, 6.1751 and 11.8506 Å and the angles 90.00°, 90.00° and 90.00°. The distinct sites, in fractional coordinates, are Ca at (0.0000, 0.0000, 0.0000), In at (0.0000, 0.5000, 0.0000), In at (0.0000, 0.5000, 0.2500) and Pb at (0.0000, 0.0000, 0.3558).

As for the energy of formation: 79 meV/atom.

***

17.
Crystalline Nb2CdOs2 at its relaxed geometry. Source: Alexandria, functional PBE.

The structure belongs to space group P4/mbm (No. 127); the cell edges are 7.6633, 7.6633 and 3.0308 Å and the angles 90.00°, 90.00° and 90.00°. The distinct sites, in fractional coordinates, are Nb at (0.1569, 0.3431, 0.0000), Cd at (0.0000, 0.0000, 0.5000) and Os at (0.1378, 0.6378, 0.5000).

The value obtained for the energy above the most stable polymorph in this dataset is 0.00 eV per formula unit. As for the energy of formation: 27 meV/atom.

***

18.
Crystalline CdSi2Os at its relaxed geometry. Source: Alexandria, functional PBE.

The structure belongs to space group P4mm (No. 99); the cell edges are 3.0727, 3.0727 and 7.0635 Å and the angles 90.00°, 90.00° and 90.00°. The distinct sites, in fractional coordinates, are Cd at (0.0000, 0.0000, 0.0000), Si at (0.0000, 0.0000, 0.4499), Si at (0.5000, 0.5000, 0.6566) and Os at (0.5000, 0.5000, 0.2929).

The formation energy from raw total energies is 0.198 eV/atom.

***

19.
Crystalline TbEr2Ga9 at its relaxed geometry. Source: Alexandria, functional PBE.

The structure belongs to space group P4/mmm (No. 123); the cell edges are 4.2609, 4.2609 and 12.7726 Å and the angles 90.00°, 90.00° and 90.00°. The distinct sites, in fractional coordinates, are Tb at (0.0000, 0.0000, 0.0000), Er at (0.0000, 0.0000, 0.3341), Ga at (0.0000, 0.5000, 0.1683), Ga at (0.0000, 0.5000, 0.5000), Ga at (0.5000, 0.5000, 0.0000) and Ga at (0.5000, 0.5000, 0.3334).

As for the energy of formation: -531 meV/atom.

***

20.
Crystalline Ca2Sn2Te at its relaxed geometry. Source: Alexandria, functional PBE.

The structure belongs to space group I4/mmm (No. 139); the cell edges are 5.6068, 5.6068 and 11.2269 Å and the angles 90.00°, 90.00° and 90.00°. The distinct sites, in fractional coordinates, are Ca at (0.0000, 0.5000, 0.2500), Sn at (0.0000, 0.0000, 0.1185) and Te at (0.0000, 0.0000, 0.5000).

The formation energy from raw total energies is -0.180 eV/atom. The value obtained for the energy above the most stable polymorph in this dataset is 2.96 eV per formula unit.